Compound: TmAl6Cu6
Source: Alexandria
Functional: PBEsol
Structure: relaxed

## Properties
energy relative to the elements	-0.368	eV/atom
crystal system	orthorhombic

Unit cell a=4.969 b=6.540 c=6.540 alpha=80.86 beta=67.67 gamma=67.67
Element x y z (fractional)
Tm (0.000, 0.000, 0.000)
Al (0.653, 0.347, 0.347)
Al (0.347, 0.653, 0.653)
Al (0.000, 0.655, 0.345)
Al (0.000, 0.345, 0.655)
Al (0.697, 0.803, 0.803)
Al (0.303, 0.197, 0.197)
Cu (0.500, 0.500, 0.000)
Cu (0.000, 0.500, 0.000)
Cu (0.500, 0.000, 0.500)
Cu (0.000, 0.000, 0.500)
Cu (0.500, 0.231, 0.769)
Cu (0.500, 0.769, 0.231)

---

Compound: PtSe2IN
Source: Alexandria
Functional: PBEsol
Structure: relaxed

## Properties
energy relative to the elements, uncorrected	557	meV/atom
crystal system	tetragonal

Unit cell a=3.668 b=5.246 c=5.246 alpha=90.00 beta=90.00 gamma=90.00
Element x y z (fractional)
I (0.500, 0.500, 0.500)
Se (0.000, 0.000, 0.500)
Se (0.000, 0.500, 0.000)
Pt (0.000, 0.000, 0.000)
N (0.500, 0.000, 0.000)

---

Compound: Cs2RbGaCl6
Source: Alexandria
Functional: PBEsol
Structure: relaxed

## Properties
energy relative to the elements, uncorrected	-1650	meV/atom
crystal system	cubic

Unit cell a=7.643 b=7.643 c=7.643 alpha=60.00 beta=60.00 gamma=60.00
Element x y z (fractional)
Cs (0.750, 0.750, 0.750)
Cs (0.250, 0.250, 0.250)
Rb (0.500, 0.500, 0.500)
Ga (0.000, 0.000, 0.000)
Cl (0.781, 0.219, 0.219)
Cl (0.781, 0.781, 0.219)
Cl (0.219, 0.781, 0.781)
Cl (0.781, 0.219, 0.781)
Cl (0.219, 0.781, 0.219)
Cl (0.219, 0.219, 0.781)

---

Compound: BaLi2Zn
Source: Alexandria
Functional: PBEsol
Structure: relaxed

## Properties
energy relative to the elements	0.157	eV/atom
crystal system	monoclinic

Unit cell a=3.680 b=5.414 c=6.480 alpha=113.96 beta=105.48 gamma=92.34
Element x y z (fractional)
Ba (0.000, 0.500, 0.000)
Li (0.000, 0.000, 0.500)
Li (0.500, 0.500, 0.500)
Zn (0.500, 0.000, 0.000)

---

It is found that the electronic total energy values, taken in the order of the records, are -4.634; -4.435; -3.480; -1.759 eV per atom.